Below is an optimized crystal structure of Li2RuAu, with properties calculated at the PBE level.

```
Li2RuAu
1.0
2.635 0.000 0.000
0.000 4.424 0.000
-0.223 0.000 5.023
Li Ru Au
2 1 1
direct
0.209 0.000 0.232
0.791 0.000 0.768
0.500 0.500 0.000
0.000 0.500 0.500
```

Results
* E above lowest polymorph: 15 meV/atom
* calculated volume: 58.56 Å³/f.u.
* E_form: -0.052 eV per atom
* space-group type: P2/m, No. 10
* final energy: -16.6 eV per cell

=====

Below is an optimized crystal structure of LiRu2Au, with properties calculated at the PBE level.

```
LiRu2Au
1.0
2.491 -4.344 0.000
2.491 4.344 0.000
0.000 0.000 2.728
Li Ru Au
1 2 1
direct
0.000 0.000 0.000
0.000 0.500 0.500
0.500 0.000 0.500
0.500 0.500 0.000
```

Results
* E above lowest polymorph: 237 meV/atom
* calculated volume: 59.03 Å³/f.u.
* E_form: 0.292 eV per atom
* space-group type: Cmmm, No. 65
* final energy: -22.6 eV per cell